## CsYZnTe3 (GGA-PBEsol)

Data for an optimized crystal structure of CsYZnTe3.

Computed properties:
Raw formation energy: -1.0880 eV/atom
Theoretical density: 5.32 g cm⁻³
Magnetic moment: 0.00 μB per formula unit

Unit cell a=4.3394 b=16.7757 c=11.4987 alpha=90.00 beta=90.00 gamma=90.00
Last column: nearest neighbours and their distance in Å.
Space group Cmcm (No. 63)
Inequivalent atoms, fractional coordinates:
Cs (0.0000, 0.2468, 0.2500) x4  8 Te 3.80-4.11, 2 Zn 4.22
Y (0.0000, 0.5000, 0.0000) x4  6 Te 3.05-3.06
Zn (0.0000, 0.0371, 0.7500) x4  4 Te 2.63-2.72
Te (0.0000, 0.1220, 0.5576) x8  1 Zn 2.63
Te (0.0000, 0.4389, 0.7500) x4  2 Zn 2.72

***

## CsZnTe (GGA-PBEsol)

Data for an optimized crystal structure of CsZnTe.

Computed properties:
Raw formation energy: -0.5989 eV/atom
Theoretical density: 4.28 g cm⁻³
Magnetic moment: 0.00 μB per formula unit

Unit cell a=5.4339 b=5.4587 c=17.0473 alpha=90.00 beta=90.00 gamma=90.00
Last column: nearest neighbours and their distance in Å.
Space group Immm (No. 71)
Inequivalent atoms, fractional coordinates:
Cs (0.0000, 0.0000, 0.1508) x4  5 Te 3.80-3.87, 4 Zn 3.93
Zn (0.0000, 0.2794, 0.5000) x4  1 Zn 2.41, 2 Te 2.64
Te (0.0000, 0.0000, 0.3737) x4  2 Zn 2.64

***

## Cs2Zr2Te (GGA-PBEsol)

Data for an optimized crystal structure of Cs2Zr2Te.

Computed properties:
Raw formation energy: 0.8164 eV/atom
Theoretical density: 5.51 g cm⁻³
Magnetic moment: 0.00 μB per formula unit

Unit cell a=4.4702 b=4.4702 c=17.3668 alpha=90.00 beta=90.00 gamma=90.00
Last column: nearest neighbours and their distance in Å.
Space group I4/mmm (No. 139)
Inequivalent atoms, fractional coordinates:
Cs (0.0000, 0.5000, 0.2500) x4  4 Cs 3.16
Zr (0.0000, 0.0000, 0.0667) x4  1 Zr 2.32
Te (0.0000, 0.0000, 0.5000) x2  8 Zr 3.37

***

## CsZrTe3 (GGA-PBEsol)

Data for an optimized crystal structure of CsZrTe3.

Computed properties:
Raw formation energy: -0.7843 eV/atom
Theoretical density: 5.60 g cm⁻³
Magnetic moment: 0.00 μB per formula unit

Unit cell a=5.6467 b=5.6467 c=5.6467 alpha=90.00 beta=90.00 gamma=90.00
Last column: nearest neighbours and their distance in Å.
Space group Pm-3m (No. 221)
Inequivalent atoms, fractional coordinates:
Cs (0.0000, 0.0000, 0.0000) x1  12 Te 3.99
Zr (0.5000, 0.5000, 0.5000) x1  6 Te 2.82
Te (0.0000, 0.5000, 0.5000) x3  2 Zr 2.82

***

## Cs2TiW (GGA-PBEsol)

Data for an optimized crystal structure of Cs2TiW.

Computed properties:
Theoretical density: 6.94 g cm⁻³
Formation energy: 2.409 eV per atom
Magnetic moment: 0.35 μB per formula unit

Unit cell a=7.8077 b=7.8077 c=7.8077 alpha=90.00 beta=90.00 gamma=90.00
Last column: nearest neighbours and their distance in Å.
Space group Fm-3m (No. 225)
Inequivalent atoms, fractional coordinates:
Cs (0.2500, 0.2500, 0.2500) x8  4 W 3.38, 4 Ti 3.38
Ti (0.0000, 0.0000, 0.0000) x4  8 Cs 3.38
W (0.0000, 0.0000, 0.5000) x4  8 Cs 3.38

***

## CsTi2W (GGA-PBEsol)

Data for an optimized crystal structure of CsTi2W.

Computed properties:
Theoretical density: 9.00 g cm⁻³
Formation energy: 1.413 eV per atom
Magnetic moment: 0.00 μB per formula unit

Unit cell a=6.7277 b=6.7277 c=6.7277 alpha=90.00 beta=90.00 gamma=90.00
Last column: nearest neighbours and their distance in Å.
Space group Fm-3m (No. 225)
Inequivalent atoms, fractional coordinates:
Cs (0.0000, 0.0000, 0.0000) x4  8 Ti 2.91
Ti (0.2500, 0.2500, 0.2500) x8  4 W 2.91, 4 Cs 2.91
W (0.0000, 0.0000, 0.5000) x4  8 Ti 2.91

***

## Cs3YTi (GGA-PBEsol)

Data for an optimized crystal structure of Cs3YTi.

Computed properties:
Theoretical density: 2.89 g cm⁻³
Formation energy: 1.388 eV per atom
Magnetic moment: 5.95 μB per formula unit

Unit cell a=6.7495 b=6.7495 c=6.7495 alpha=90.00 beta=90.00 gamma=90.00
Last column: nearest neighbours and their distance in Å.
Space group Pm-3m (No. 221)
Inequivalent atoms, fractional coordinates:
Cs (0.0000, 0.0000, 0.5000) x3  2 Ti 3.37
Y (0.5000, 0.5000, 0.5000) x1  12 Cs 4.77
Ti (0.0000, 0.0000, 0.0000) x1  6 Cs 3.37

***

## Cs3ZrTi (GGA-PBEsol)

Data for an optimized crystal structure of Cs3ZrTi.

Computed properties:
Theoretical density: 2.70 g cm⁻³
Formation energy: 1.782 eV per atom
Magnetic moment: 7.25 μB per formula unit

Unit cell a=6.9142 b=6.9142 c=6.9142 alpha=90.00 beta=90.00 gamma=90.00
Last column: nearest neighbours and their distance in Å.
Space group Pm-3m (No. 221)
Inequivalent atoms, fractional coordinates:
Cs (0.0000, 0.0000, 0.5000) x3  2 Zr 3.46
Zr (0.0000, 0.0000, 0.0000) x1  6 Cs 3.46
Ti (0.5000, 0.5000, 0.5000) x1  12 Cs 4.89

***

## Cs3TlW (GGA-PBEsol)

Data for an optimized crystal structure of Cs3TlW.

Computed properties:
Theoretical density: 3.80 g cm⁻³
Formation energy: 1.543 eV per atom
Magnetic moment: 5.22 μB per formula unit

Unit cell a=7.0084 b=7.0084 c=7.0084 alpha=90.00 beta=90.00 gamma=90.00
Last column: nearest neighbours and their distance in Å.
Space group Pm-3m (No. 221)
Inequivalent atoms, fractional coordinates:
Cs (0.0000, 0.0000, 0.5000) x3  2 W 3.50
Tl (0.5000, 0.5000, 0.5000) x1  12 Cs 4.96
W (0.0000, 0.0000, 0.0000) x1  6 Cs 3.50

***

## Cs3YZr (GGA-PBEsol)

Data for an optimized crystal structure of Cs3YZr.

Computed properties:
Theoretical density: 2.78 g cm⁻³
Formation energy: 1.714 eV per atom
Magnetic moment: 6.08 μB per formula unit

Unit cell a=7.0191 b=7.0191 c=7.0191 alpha=90.00 beta=90.00 gamma=90.00
Last column: nearest neighbours and their distance in Å.
Space group Pm-3m (No. 221)
Inequivalent atoms, fractional coordinates:
Cs (0.0000, 0.0000, 0.5000) x3  2 Y 3.51
Y (0.0000, 0.0000, 0.0000) x1  6 Cs 3.51
Zr (0.5000, 0.5000, 0.5000) x1  12 Cs 4.96

***

## DyCu5 (GGA-PBEsol)

Data for an optimized crystal structure of DyCu5.

Computed properties:
Theoretical density: 9.69 g cm⁻³
Formation energy: -0.187 eV per atom
Magnetic moment: 0.00 μB per formula unit

Unit cell a=6.9042 b=6.9042 c=6.9042 alpha=90.00 beta=90.00 gamma=90.00
Last column: nearest neighbours and their distance in Å.
Space group F-43m (No. 216)
Inequivalent atoms, fractional coordinates:
Dy (0.0000, 0.0000, 0.0000) x4  16 Cu 2.86-2.99
Cu (0.1238, 0.1238, 0.3762) x16  6 Cu 2.42-2.46
Cu (0.2500, 0.2500, 0.7500) x4  12 Cu 2.86, 4 Dy 2.99

***

## DyCu5 (GGA-PBEsol)

Data for an optimized crystal structure of DyCu5.

Computed properties:
Theoretical density: 9.39 g cm⁻³
Formation energy: -0.191 eV per atom
Magnetic moment: 0.00 μB per formula unit

Unit cell a=4.9504 b=4.9504 c=3.9997 alpha=90.00 beta=90.00 gamma=120.00
Last column: nearest neighbours and their distance in Å.
Space group P6/mmm (No. 191)
Inequivalent atoms, fractional coordinates:
Dy (0.0000, 0.0000, 0.0000) x1  18 Cu 2.86-3.18
Cu (0.0000, 0.5000, 0.5000) x3  8 Cu 2.46-2.48
Cu (0.3333, 0.6667, 0.0000) x2  6 Cu 2.46

***

## Dy6Cu23 (GGA-PBEsol)

Data for an optimized crystal structure of Dy6Cu23.

Computed properties:
Theoretical density: 9.56 g cm⁻³
Formation energy: -0.190 eV per atom
Magnetic moment: 0.00 μB per formula unit

Unit cell a=11.9186 b=11.9186 c=11.9186 alpha=90.00 beta=90.00 gamma=90.00
Last column: nearest neighbours and their distance in Å.
Space group Fm-3m (No. 225)
Inequivalent atoms, fractional coordinates:
Dy (0.0000, 0.0000, 0.2133) x24  12 Cu 2.84-3.01
Cu (0.0000, 0.0000, 0.5000) x4  8 Cu 2.52
Cu (0.0000, 0.2500, 0.2500) x24  8 Cu 2.44-2.60
Cu (0.1221, 0.1221, 0.3779) x32  7 Cu 2.52-2.60
Cu (0.1739, 0.1739, 0.1739) x32  9 Cu 2.44-2.58

***

## Dy2GaCu3 (GGA-PBEsol)

Data for an optimized crystal structure of Dy2GaCu3.

Computed properties:
Theoretical density: 9.29 g cm⁻³
Formation energy: -0.385 eV per atom
Magnetic moment: 0.00 μB per formula unit

Unit cell a=9.6260 b=4.2407 c=6.7671 alpha=90.00 beta=130.74 gamma=90.00
Last column: nearest neighbours and their distance in Å.
Space group Cm (No. 8)
Inequivalent atoms, fractional coordinates:
Dy (0.0000, 0.0000, 0.0000) x2  8 Cu 2.85-3.09, 3 Ga 2.96-3.08
Dy (0.0934, 0.0000, 0.5946) x2  9 Cu 2.86-3.19, 3 Ga 2.98-3.06
Ga (0.3783, 0.0000, 0.1906) x2  4 Cu 2.46-2.62
Cu (0.2096, 0.5000, 0.0114) x2  2 Ga 2.46, 2 Cu 2.50-2.67
Cu (0.2125, 0.5000, 0.4089) x2  3 Cu 2.48-2.67, 1 Ga 2.52
Cu (0.3871, 0.0000, 0.5862) x2  3 Cu 2.48-2.50, 1 Ga 2.62

***

## Dy2Ga3Cu (GGA-PBEsol)

Data for an optimized crystal structure of Dy2Ga3Cu.

Computed properties:
Theoretical density: 8.72 g cm⁻³
Formation energy: -0.639 eV per atom
Magnetic moment: 0.00 μB per formula unit

Unit cell a=4.3065 b=4.3065 c=7.0887 alpha=90.00 beta=90.00 gamma=120.00
Last column: nearest neighbours and their distance in Å.
Space group P3m1 (No. 156)
Inequivalent atoms, fractional coordinates:
Dy (0.0000, 0.0000, 0.0000) x1  3 Cu 2.86, 6 Ga 2.93-3.06
Dy (0.0000, 0.0000, 0.4712) x1  6 Ga 2.93, 3 Cu 3.14
Ga (0.3333, 0.6667, 0.7804) x1  3 Ga 2.57
Ga (0.6667, 0.3333, 0.2522) x1  3 Cu 2.51
Ga (0.6667, 0.3333, 0.6903) x1  3 Ga 2.57
Cu (0.3333, 0.6667, 0.1998) x1  3 Ga 2.51

***

## Dy3Ga4Cu2 (GGA-PBEsol)

Data for an optimized crystal structure of Dy3Ga4Cu2.

Computed properties:
Theoretical density: 8.91 g cm⁻³
Formation energy: -0.601 eV per atom
Magnetic moment: 0.00 μB per formula unit

Unit cell a=10.2650 b=4.3135 c=15.6530 alpha=90.00 beta=106.10 gamma=90.00
Last column: nearest neighbours and their distance in Å.
Space group Cm (No. 8)
Inequivalent atoms, fractional coordinates:
Dy (0.0000, 0.0000, 0.0000) x2  3 Cu 2.95-3.02, 9 Ga 2.98-3.26
Dy (0.0514, 0.5000, 0.5163) x2  5 Cu 2.90-3.12, 7 Ga 2.94-3.24
Dy (0.1663, 0.5000, 0.3345) x2  6 Cu 2.93-3.13, 6 Ga 2.99-3.18
Dy (0.2180, 0.0000, 0.8558) x2  9 Ga 2.95-3.19, 3 Cu 3.06-3.20
Dy (0.3320, 0.0000, 0.6633) x2  9 Ga 2.97-3.25, 3 Cu 2.97-2.98
Dy (0.3904, 0.5000, 0.1955) x2  4 Cu 2.89-3.22, 8 Ga 2.99-3.12
Ga (0.0132, 0.5000, 0.8550) x2  2 Cu 2.46, 1 Ga 2.56
Ga (0.0321, 0.0000, 0.6667) x2  3 Ga 2.53-2.56, 1 Cu 2.71
Ga (0.1618, 0.5000, 0.7218) x2  1 Cu 2.48, 2 Ga 2.56
Ga (0.1834, 0.0000, 0.1885) x2  2 Cu 2.46, 1 Ga 2.54
Ga (0.2008, 0.5000, 0.0023) x2  3 Ga 2.56, 1 Cu 2.68
Ga (0.3305, 0.0000, 0.0577) x2  1 Cu 2.48, 2 Ga 2.56
Ga (0.3487, 0.5000, 0.5207) x2  2 Cu 2.48, 1 Ga 2.53
Ga (0.3686, 0.0000, 0.3348) x2  3 Cu 2.49-2.75, 1 Ga 2.54
Cu (0.0774, 0.5000, 0.1327) x2  4 Ga 2.46-2.68
Cu (0.2370, 0.0000, 0.4656) x2  3 Ga 2.48-2.75, 1 Cu 2.55
Cu (0.4081, 0.5000, 0.7989) x2  4 Ga 2.46-2.71
Cu (0.4838, 0.5000, 0.3878) x2  2 Ga 2.49, 1 Cu 2.55

***

## DyGa3Cu (GGA-PBEsol)

Data for an optimized crystal structure of DyGa3Cu.

Computed properties:
Theoretical density: 8.49 g cm⁻³
Formation energy: -0.509 eV per atom
Magnetic moment: 0.00 μB per formula unit

Unit cell a=4.0144 b=4.0144 c=10.5613 alpha=90.00 beta=90.00 gamma=90.00
Last column: nearest neighbours and their distance in Å.
Space group I-4m2 (No. 119)
Inequivalent atoms, fractional coordinates:
Dy (0.0000, 0.0000, 0.0000) x2  12 Ga 3.08-3.32, 4 Cu 3.32
Ga (0.0000, 0.0000, 0.3866) x4  3 Ga 2.40-2.47, 2 Cu 2.47
Ga (0.0000, 0.5000, 0.7500) x2  4 Ga 2.47
Cu (0.0000, 0.5000, 0.2500) x2  4 Ga 2.47

***

## Dy3Cu4Ge4 (GGA-PBEsol)

Data for an optimized crystal structure of Dy3Cu4Ge4.

Computed properties:
Theoretical density: 9.23 g cm⁻³
Formation energy: -0.685 eV per atom
Magnetic moment: 0.00 μB per formula unit

Unit cell a=4.1397 b=6.5433 c=13.7098 alpha=90.00 beta=90.00 gamma=90.00
Last column: nearest neighbours and their distance in Å.
Space group Immm (No. 71)
Inequivalent atoms, fractional coordinates:
Dy (0.0000, 0.0000, 0.0000) x2  6 Ge 2.89-2.97
Dy (0.0000, 0.5000, 0.1303) x4  6 Cu 2.95-3.02, 6 Ge 2.95-3.01
Cu (0.0000, 0.3101, 0.3309) x8  4 Ge 2.44-2.56, 1 Cu 2.48
Ge (0.0000, 0.0000, 0.2167) x4  6 Cu 2.50-2.56
Ge (0.0000, 0.1921, 0.5000) x4  2 Cu 2.44, 1 Ge 2.51

***

## Dy2CuGe4O12 (GGA-PBEsol)

Data for an optimized crystal structure of Dy2CuGe4O12.

Computed properties:
Raw formation energy: -2.1062 eV/atom
Theoretical density: 5.83 g cm⁻³
Magnetic moment: 1.00 μB per formula unit

Unit cell a=4.9199 b=7.1643 c=7.8555 alpha=66.75 beta=87.48 gamma=77.63
Last column: nearest neighbours and their distance in Å.
Space group P-1 (No. 2)
Inequivalent atoms, fractional coordinates:
Dy (0.0500, 0.2678, 0.4543) x2  7 O 2.24-2.50
Cu (0.0000, 0.5000, 0.0000) x1  4 O 1.95
Ge (0.4191, 0.8801, 0.7950) x2  4 O 1.74-1.82
Ge (0.4631, 0.6642, 0.2242) x2  4 O 1.74-1.79
O (0.2200, 0.9220, 0.6013) x2  1 Ge 1.74
O (0.2283, 0.5641, 0.3910) x2  1 Ge 1.74
O (0.2485, 0.5135, 0.7976) x2  1 Ge 1.74, 1 Cu 1.95
O (0.2495, 0.2729, 0.1918) x2  1 Ge 1.74, 1 Cu 1.95
O (0.2633, 0.8043, 0.0113) x2  2 Ge 1.76-1.78
O (0.4047, 0.1573, 0.7126) x2  2 Ge 1.79-1.82

***

## Dy2CuGe2O8 (GGA-PBEsol)

Data for an optimized crystal structure of Dy2CuGe2O8.

Computed properties:
Raw formation energy: -2.3350 eV/atom
Theoretical density: 7.24 g cm⁻³
Magnetic moment: 0.99 μB per formula unit

Unit cell a=9.4405 b=14.9285 c=5.0715 alpha=90.00 beta=121.84 gamma=90.00
Last column: nearest neighbours and their distance in Å.
Space group Cm (No. 8)
Inequivalent atoms, fractional coordinates:
Dy (0.0000, 0.1192, 0.0000) x4  6 O 2.22-2.44
Dy (0.4985, 0.1200, 0.5073) x4  7 O 2.25-2.51
Cu (0.2957, 0.2069, 0.8132) x4  4 O 1.87-2.09
Ge (0.2423, 0.2887, 0.2668) x4  5 O 1.77-1.95
Ge (0.2540, 0.5000, 0.2155) x2  4 O 1.76-1.79
Ge (0.2567, 0.0000, 0.8000) x2  4 O 1.78
O (0.0572, 0.2643, 0.2604) x4  1 Ge 1.77
O (0.0807, 0.0000, 0.8397) x2  1 Ge 1.78
O (0.0819, 0.5000, 0.8320) x2  1 Ge 1.76
O (0.2459, 0.1710, 0.1094) x4  1 Cu 1.87, 1 Ge 1.94
O (0.2516, 0.3316, 0.9446) x4  1 Ge 1.80
O (0.2542, 0.4072, 0.4402) x4  2 Ge 1.79-1.95
O (0.2619, 0.0945, 0.5904) x4  1 Ge 1.78, 1 Cu 1.95
O (0.4193, 0.2583, 0.6383) x4  1 Ge 1.80, 1 Cu 1.96
O (0.4251, 0.0000, 0.1930) x2  1 Ge 1.78
O (0.4301, 0.5000, 0.1804) x2  1 Ge 1.76